Entry 1:
This record from the Alexandria database describes a relaxed structure of La2Al2Ge. The functional is PBE-GGA.

Total magnetic moment   0.000 μB per atom
Energy relative to the elements   -0.569 eV per atom

a = 6.2091 Å, b = 6.2091 Å, c = 11.5300 Å
α = 114.65°, β = 114.65°, γ = 40.65°
Element x y z (fractional)
La1 0.1072 0.1072 0.4034
La2 0.2905 0.2905 0.8583
La3 0.7095 0.7095 0.1417
La4 0.8928 0.8928 0.5966
Al1 0.0229 0.0229 0.9037
Al2 0.3796 0.3796 0.3826
Al3 0.6204 0.6204 0.6174
Al4 0.9771 0.9771 0.0963
Ge1 0.4348 0.4348 0.1874
Ge2 0.5652 0.5652 0.8126

***

Entry 2:
This record from the Alexandria database describes a relaxed structure of In2Ge2I. The functional is PBE-GGA.

Total magnetic moment   0.000 μB per atom
Uncorrected formation energy   0.149 eV/atom
Relative energy among the computed polymorphs   56 meV per atom

a = 8.3749 Å, b = 8.3749 Å, c = 3.8272 Å
α = 90.00°, β = 90.00°, γ = 90.00°
Element x y z (fractional)
In1 0.1871 0.3129 0.0000
In2 0.3129 0.8129 0.0000
In3 0.6871 0.1871 0.0000
In4 0.8129 0.6871 0.0000
Ge1 0.1108 0.6108 0.5000
Ge2 0.3892 0.1108 0.5000
Ge3 0.6108 0.8892 0.5000
Ge4 0.8892 0.3892 0.5000
I1 0.0000 0.0000 0.5000
I2 0.5000 0.5000 0.5000

***

Entry 3:
This record from the Alexandria database describes a relaxed structure of YPuHg5. The functional is PBE-GGA.

Total magnetic moment   0.843 μB per atom
Energy relative to the elements   -0.133 eV per atom

a = 4.3706 Å, b = 4.7537 Å, c = 9.1231 Å
α = 90.00°, β = 90.00°, γ = 90.00°
Element x y z (fractional)
Y1 0.0000 0.0000 0.0000
Pu1 0.5000 0.5000 0.5000
Hg1 0.0000 0.5000 0.2477
Hg2 0.0000 0.5000 0.7523
Hg3 0.5000 0.0000 0.2644
Hg4 0.5000 0.0000 0.7356
Hg5 0.5000 0.5000 0.0000

***

Entry 4:
This record from the Alexandria database describes a relaxed structure of LaPAu2. The functional is PBE-GGA.

Total magnetic moment   0.000 μB per atom
Energy relative to the elements   -0.623 eV per atom

a = 5.9686 Å, b = 5.9686 Å, c = 4.1335 Å
α = 96.70°, β = 96.70°, γ = 40.05°
Element x y z (fractional)
La1 0.0000 0.0000 0.0000
P1 0.5000 0.5000 0.5000
Au1 0.2822 0.2822 0.2530
Au2 0.7178 0.7178 0.7470